4
Lattice="1.7231 0.9949 12.5379 -1.7231 0.9949 12.5379 0.0000 -1.9897 12.5379" Properties=species:S:1:pos:R:3 comment="PBE NaEr2Lu, relaxed" rho_g_cm3=6.86 polymorph_energy_ev_per_atom=0.0242 dos_ef_per_ev_fu=4.6 pbc="T T T"
Na 0.0000 0.0000 0.0000
Er 0.0000 0.0000 3.4971
Er 0.0000 0.0000 34.1167
Lu 0.0000 0.0000 18.8069

---

4
Lattice="3.4807 0.0000 0.0000 0.0000 3.4807 0.0000 0.0000 0.0000 10.4319" Properties=species:S:1:pos:R:3 comment="PBE NaEr2Lu, relaxed" rho_g_cm3=7.00 polymorph_energy_ev_per_atom=0.0000 dos_ef_per_ev_fu=3.9 pbc="T T T"
Na 0.0000 0.0000 0.0000
Er 1.7403 1.7403 2.8507
Er 1.7403 1.7403 7.5811
Lu 0.0000 0.0000 5.2159

---

3
Lattice="3.4641 0.0000 0.0000 -1.7320 3.0000 0.0000 0.0000 0.0000 9.1502" Properties=species:S:1:pos:R:3 comment="PBE NaErLu, relaxed" dft_energy_ev_per_atom=-3.30 rho_g_cm3=6.38 dos_ef_per_ev_fu=4.6 pbc="T T T"
Na 0.0000 0.0000 0.0000
Er 0.0000 2.0000 5.9106
Lu 1.7320 1.0000 3.2060

---

4
Lattice="0.0000 3.7731 3.7731 3.7731 0.0000 3.7731 3.7731 3.7731 0.0000" Properties=species:S:1:pos:R:3 comment="PBE NaErLuTl, relaxed" dft_energy_ev_per_atom=-3.19 rho_g_cm3=8.80 dos_ef_per_ev_fu=3.0 pbc="T T T"
Na 0.0000 0.0000 0.0000
Er 1.8866 1.8866 1.8866
Lu 5.6597 5.6597 5.6597
Tl 3.7731 3.7731 3.7731